VASP calculation (GGA-PBE) on Ca2GaSbPt6 after structural relaxation.

Geometry as POSCAR:
```
Ca2GaSbPt6
1.0
0.000 4.856 4.856
4.856 0.000 4.856
4.856 4.856 0.000
Ca Ga Sb Pt
2 1 1 6
Direct
0.250 0.250 0.250
0.750 0.750 0.750
0.000 0.000 0.000
0.500 0.500 0.500
0.243 0.243 0.757
0.243 0.757 0.243
0.243 0.757 0.757
0.757 0.243 0.243
0.757 0.243 0.757
0.757 0.757 0.243
```

## Properties
mass density = 10.458 g/cm3
E_form (uncorrected) = -0.1680 eV per atom
space group = No. 225
V = 22.90 Å³ per atom

=====

VASP calculation (GGA-PBE) on TbPd2Pt2 after structural relaxation.

Geometry as POSCAR:
```
TbPd2Pt2
1.0
5.311 0.000 0.000
0.000 8.427 0.000
0.000 0.000 4.403
Tb Pd Pt
2 4 4
Direct
0.000 0.000 0.000
0.500 0.500 0.000
0.002 0.338 0.000
0.498 0.838 0.000
0.502 0.162 0.000
0.998 0.662 0.000
0.238 0.232 0.500
0.262 0.732 0.500
0.738 0.268 0.500
0.762 0.768 0.500
```

## Properties
energy of formation from the pure elements = -249 kJ/mol of formula units
polymorph energy (0 for the lowest one) = 0.000 eV/atom
mass density = 12.840 g/cm3
space group = No. 55
V = 19.71 Å³ per atom

=====

VASP calculation (GGA-PBE) on La2Pm3Sm6 after structural relaxation.

Geometry as POSCAR:
```
La2Pm3Sm6
1.0
-2.423 2.423 17.055
2.423 -2.423 17.055
2.423 2.423 -17.055
La Pm Sm
2 3 6
Direct
0.045 0.045 0.000
0.955 0.955 0.000
0.298 0.298 0.000
0.500 0.500 0.000
0.702 0.702 0.000
0.122 0.622 0.500
0.197 0.197 0.000
0.378 0.878 0.500
0.622 0.122 0.500
0.803 0.803 0.000
0.878 0.378 0.500
```

## Properties
energy of formation from the pure elements = 267 kJ/mol of formula units
polymorph energy (0 for the lowest one) = 0.078 eV/atom
mass density = 6.694 g/cm3
space group = No. 139
V = 36.42 Å³ per atom

=====

| no. | E_tot (eV/atom) |
| --- | --- |
| 1 | -4.9077 |
| 2 | -5.9365 |
| 3 | -4.5139 |